DFT (GGA+U) results for a relaxed NbCrO3 crystal.

Computed properties:
ρ = 5079 kg/m3
DFT total energy = -8.308 eV per atom
total magnetic moment = 4.922 μB per cell

a = 3.9805 Å, b = 3.9805 Å, c = 3.9805 Å
α = 90.00°, β = 90.00°, γ = 90.00°
Site moments in Bohr magnetons follow the coordinates.
Element x y z (fractional)
O1 0.5000 0.0000 0.0000  0.01
O2 0.0000 0.5000 0.0000  0.01
Nb1 0.0000 0.0000 0.0000  0.10
Cr1 0.5000 0.5000 0.5000  4.49
O3 0.0000 0.0000 0.5000  0.00